a:
Entry from Alexandria: a relaxed structure of NaLiI (GGA-PBE).

Calculated values
symmetry	No. 1

Cell lengths 4.3138, 4.3145, 11.1603 Å; angles 89.94, 89.92, 89.87 degrees
Sites, in units of the cell vectors:
Na  0.0000  0.0000  0.0000
Na  0.4919  0.4963  0.6178
Li  0.4948  0.4975  0.3175
Li  0.9933  0.9969  0.4587
I  0.4994  0.4997  0.0692
I  0.9919  0.9958  0.7187

---

b:
Entry from Alexandria: a relaxed structure of NaLiI (GGA-PBE).

Calculated values
symmetry	No. 156

Cell lengths 4.1772, 4.1772, 6.9553 Å; angles 90.00, 90.00, 120.00 degrees
Sites, in units of the cell vectors:
Na  0.0000  0.0000  0.0000
Li  0.6667  0.3333  0.5596
I  0.3333  0.6667  0.3546

---

Here is how they stack up, most stable first: a, b.